1.
DFT (GGA-PBE) results for a relaxed structure of TaZnTeI2.

- Excess energy over the best structure of this formula in the dataset: 0.000 eV per atom
- DOS(E_F): 0.37 states/eV per atom
- Space group: P4/mmm, No. 123
- Uncorrected energy: -3.6480 eV/atom
- Energy relative to the elements, uncorrected: 226 meV per atom

Structure (POSCAR):
```
TaZnTeI2
1.0
5.640 0.000 0.000
0.000 5.640 0.000
0.000 0.000 5.380
Ta Te I Zn
1 1 2 1
Cartesian
0.000 0.000 0.000
0.000 0.000 2.690
2.820 0.000 0.000
0.000 2.820 0.000
2.820 2.820 2.690
```

***

2.
DFT (GGA-PBE) results for a relaxed structure of BaSrW2.

- Excess energy over the best structure of this formula in the dataset: 0.256 eV per atom
- DOS(E_F): 0.91 states/eV per atom
- Space group: Imm2, No. 44
- Uncorrected energy: -6.3956 eV/atom
- Formation energy: 0.9822 eV per atom

Structure (POSCAR):
```
BaSrW2
1.0
6.603 0.000 -0.008
3.098 5.831 0.008
-4.080 -4.197 3.056
Sr W Ba
1 2 1
Cartesian
1.748 2.163 1.532
4.184 -0.342 1.524
9.175 5.515 0.000
5.065 3.045 0.000
```

***

3.
DFT (GGA-PBE) results for a relaxed structure of Mn4AlSi.

- DOS(E_F): 1.19 states/eV per atom
- Space group: F-43m, No. 216
- Uncorrected energy: -7.5720 eV/atom
- Energy relative to the elements, uncorrected: 69 meV per atom

Structure (POSCAR):
```
Mn4AlSi
1.0
-2.789 -0.799 -3.642
-3.545 2.883 -0.895
0.160 2.803 -3.714
Si Mn Al
1 4 1
Cartesian
-4.630 3.665 -6.188
-4.085 3.272 -3.543
-3.708 1.436 -4.913
-2.317 1.834 -3.096
-2.237 3.232 -4.949
0.000 0.000 0.000
```

***

4.
DFT (GGA-PBE) results for a relaxed structure of Ta2NiOs.

- Excess energy over the best structure of this formula in the dataset: 0.121 eV per atom
- DOS(E_F): 0.87 states/eV per atom
- Space group: I-4m2, No. 119
- Uncorrected energy: -10.3086 eV/atom
- Formation energy: -0.1295 eV per atom

Structure (POSCAR):
```
Ta2NiOs
1.0
4.994 0.017 0.000
2.016 4.569 0.000
-3.505 -2.293 2.720
Ta Os Ni
2 1 1
Cartesian
0.000 0.000 0.000
1.008 2.285 1.360
2.497 0.008 1.360
3.505 2.293 0.000
```